Entry 1:
The following is a DFT calculation (GGA-PBEsol) of SrReTe after structural relaxation.

Computed properties:
SG ... F-43m (216)

abc: 5.224 5.224 5.224
angles: 60.00 60.00 60.00
Each line ends with the local moment (μB).
Positions (direct):
Sr  0.750  0.750  0.750  0.06
Te  0.000  0.000  0.000  0.14
Re  0.500  0.500  0.500  3.44



Entry 2:
The following is a DFT calculation (GGA-PBEsol) of ZnSi2SnO6 after structural relaxation.

Computed properties:
SG ... C2/c (15)

abc: 5.466 7.260 7.260
angles: 83.11 74.85 74.85
Positions (direct):
O  0.040  0.721  0.736
O  0.883  0.408  0.772
O  0.617  0.228  0.592
O  0.460  0.264  0.279
O  0.383  0.772  0.408
O  0.835  0.950  0.336
O  0.665  0.664  0.050
O  0.117  0.592  0.228
O  0.335  0.336  0.950
O  0.960  0.279  0.264
O  0.540  0.736  0.721
O  0.165  0.050  0.664
Zn  0.750  0.717  0.283
Zn  0.250  0.283  0.717
Si  0.280  0.823  0.634
Si  0.720  0.177  0.366
Si  0.220  0.366  0.177
Si  0.780  0.634  0.823
Sn  0.250  0.853  0.147
Sn  0.750  0.147  0.853



Entry 3:
The following is a DFT calculation (GGA-PBEsol) of Tc2HOsO after structural relaxation.

Computed properties:
SG ... P4/mmm (123)

abc: 3.056 4.677 4.677
angles: 90.00 90.00 90.00
Positions (direct):
O  0.500  0.500  0.500
Tc  0.000  0.000  0.500
Tc  0.000  0.500  0.000
H  0.500  0.000  0.000
Os  0.000  0.000  0.000



Entry 4:
The following is a DFT calculation (GGA-PBEsol) of Ta2GaC after structural relaxation.

Computed properties:
ΔE_f ... -0.58 eV/atom
SG ... P6_3/mmc (194)

abc: 3.096 3.096 13.489
angles: 90.00 90.00 120.00
Positions (direct):
Ta  0.667  0.333  0.409
Ta  0.667  0.333  0.091
Ta  0.333  0.667  0.909
Ta  0.333  0.667  0.591
C  0.000  0.000  0.500
C  0.000  0.000  0.000
Ga  0.333  0.667  0.250
Ga  0.667  0.333  0.750



Entry 5:
The following is a DFT calculation (GGA-PBEsol) of ZnCo3W after structural relaxation.

Computed properties:
ΔE_f ... 1.56 eV/atom
SG ... Pm-3m (221)

abc: 4.359 4.359 4.359
angles: 90.00 90.00 90.00
Positions (direct):
W  0.000  0.000  0.000
Co  0.500  0.000  0.000
Co  0.000  0.000  0.500
Co  0.000  0.500  0.000
Zn  0.500  0.500  0.500



Entry 6:
The following is a DFT calculation (GGA-PBEsol) of Na2Zn2In after structural relaxation.

Computed properties:
ΔE_f ... 0.21 eV/atom
ΔE to the lowest computed polymorph ... 182 meV/atom
SG ... I4/mmm (139)

abc: 4.128 4.128 7.348
angles: 106.32 106.32 90.00
Positions (direct):
Na  0.750  0.250  0.500
Na  0.250  0.750  0.500
In  0.000  0.000  0.000
Zn  0.590  0.590  0.180
Zn  0.410  0.410  0.820



Entry 7:
The following is a DFT calculation (GGA-PBEsol) of Nd3Bi4Au3 after structural relaxation.

Computed properties:
ΔE_f ... -0.78 eV/atom
SG ... I-43d (220)

abc: 8.794 8.794 8.794
angles: 109.47 109.47 109.47
Positions (direct):
Nd  0.125  0.250  0.375
Nd  0.250  0.875  0.625
Nd  0.750  0.625  0.875
Nd  0.875  0.125  0.750
Nd  0.625  0.375  0.250
Nd  0.375  0.750  0.125
Au  0.125  0.875  0.250
Au  0.625  0.250  0.875
Au  0.250  0.375  0.125
Au  0.875  0.750  0.625
Au  0.750  0.125  0.375
Au  0.375  0.625  0.750
Bi  0.180  0.000  0.000
Bi  0.000  0.500  0.680
Bi  0.320  0.320  0.820
Bi  0.500  0.680  0.500
Bi  0.680  0.000  0.000
Bi  0.000  0.500  0.180
Bi  0.500  0.180  0.500
Bi  0.820  0.820  0.320



Entry 8:
The following is a DFT calculation (GGA-PBEsol) of TaAu2Br after structural relaxation.

Computed properties:
ΔE to the lowest computed polymorph ... 447 meV/atom
SG ... Pmmm (47)

abc: 2.985 4.648 5.234
angles: 90.00 90.00 90.00
Positions (direct):
Au  0.500  0.500  0.000
Au  0.000  0.000  0.000
Ta  0.000  0.500  0.500
Br  0.500  0.000  0.500



Entry 9:
The following is a DFT calculation (GGA-PBEsol) of FeSi2Mo after structural relaxation.

Computed properties:
SG ... Pmmm (47)

abc: 2.721 2.975 5.940
angles: 90.00 90.00 90.00
Each line ends with the local moment (μB).
Positions (direct):
Mo  0.500  0.500  0.500  -0.01
Si  0.000  0.000  0.781  0.00
Si  0.000  0.000  0.219  0.00
Fe  0.500  0.500  0.000  0.35



Entry 10:
The following is a DFT calculation (GGA-PBEsol) of ScAlW2 after structural relaxation.

Computed properties:
ΔE_f ... -0.09 eV/atom
SG ... P4mm (99)

abc: 3.234 3.234 6.394
angles: 90.00 90.00 90.00
Positions (direct):
W  0.000  0.000  0.024
W  0.500  0.500  0.242
Sc  0.500  0.500  0.759
Al  0.000  0.000  0.475



Entry 11:
The following is a DFT calculation (GGA-PBEsol) of CaHg2Pd after structural relaxation.

Computed properties:
ΔE_f ... -0.48 eV/atom
SG ... Fm-3m (225)

abc: 4.870 4.870 4.870
angles: 60.00 60.00 60.00
Positions (direct):
Ca  0.000  0.000  0.000
Pd  0.500  0.500  0.500
Hg  0.750  0.750  0.750
Hg  0.250  0.250  0.250



Entry 12:
The following is a DFT calculation (GGA-PBEsol) of YTa2Cu after structural relaxation.

Computed properties:
ΔE_f ... 0.36 eV/atom
ΔE to the lowest computed polymorph ... 137 meV/atom
SG ... P2/m (10)

abc: 2.997 5.009 5.069
angles: 90.00 90.00 97.65
Positions (direct):
Ta  0.348  0.237  0.000
Ta  0.652  0.763  0.000
Cu  0.500  0.000  0.500
Y  0.000  0.500  0.500



| no. | spin magnetization (μB/f.u.) | ρ (g cm⁻³) | DFT total energy (eV per atom) |
| --- | --- | --- | --- |
| 1 | 4.54 | 6.6 | -4.724 |
| 2 | 0.00 | 4.2 | -7.048 |
| 3 | 0.00 | 10.0 | -7.132 |
| 4 | 0.00 | 13.2 | -10.103 |
| 5 | 0.00 | 8.5 | -6.158 |
| 6 | 0.00 | 4.2 | -1.576 |
| 7 | 0.00 | 11.8 | -5.220 |
| 8 | 0.00 | 15.0 | -5.098 |
| 9 | 0.31 | 7.2 | -8.400 |
| 10 | 0.00 | 10.9 | -9.664 |
| 11 | 0.00 | 11.1 | -2.782 |
| 12 | 0.00 | 11.3 | -8.701 |